The following is a DFT calculation (GGA-PBE) of a relaxed structure of BaSiCl4.

CIF file:
```
data_BaSiCl4
_space_group_name_H-M_alt 'F -4 3 m'
_space_group_IT_number 216
_space_group_name_Hall 'F -4 2 3'
_cell_length_a 8.636
_cell_length_b 8.636
_cell_length_c 8.636
_cell_angle_alpha 90.00
_cell_angle_beta 90.00
_cell_angle_gamma 90.00
loop_
_atom_site_label
_atom_site_fract_x
_atom_site_fract_y
_atom_site_fract_z
_atom_site_occupancy
Ba1 0.000 0.000 0.000 1
Si1 0.250 0.250 0.250 1
Cl1 0.125 0.125 0.625 1
```

Output
Theoretical density   3.17 Mg/m³
Formation energy without anion corrections   -0.25 eV/atom
DFT total energy   -64.97 eV per cell
Fermi-level density of states   1.0652 states/eV per atom

The following is a DFT calculation (GGA-PBE) of a relaxed structure of Ba3SiCl2.

CIF file:
```
data_Ba3SiCl2
_space_group_name_H-M_alt 'C 1 2/m 1'
_space_group_IT_number 12
_space_group_name_Hall '-C 2y'
_cell_length_a 8.271
_cell_length_b 14.318
_cell_length_c 8.168
_cell_angle_alpha 90.00
_cell_angle_beta 109.54
_cell_angle_gamma 90.00
loop_
_atom_site_label
_atom_site_fract_x
_atom_site_fract_y
_atom_site_fract_z
_atom_site_occupancy
Ba1 0.226 0.000 0.231 1
Ba2 0.247 0.176 0.767 1
Si1 0.000 0.167 0.000 1
Cl1 0.000 0.000 0.500 1
Cl2 0.000 0.339 0.500 1
Cl3 0.000 0.500 0.000 1
```

Output
Theoretical density   3.72 Mg/m³
Formation energy without anion corrections   -1.42 eV/atom
DFT total energy   -93.65 eV per cell
Fermi-level density of states   0.1808 states/eV per atom

The following is a DFT calculation (GGA-PBE) of a relaxed structure of Ba4SiCl.

CIF file:
```
data_Ba4SiCl
_space_group_name_H-M_alt 'F -4 3 m'
_space_group_IT_number 216
_space_group_name_Hall 'F -4 2 3'
_cell_length_a 10.040
_cell_length_b 10.040
_cell_length_c 10.040
_cell_angle_alpha 90.00
_cell_angle_beta 90.00
_cell_angle_gamma 90.00
loop_
_atom_site_label
_atom_site_fract_x
_atom_site_fract_y
_atom_site_fract_z
_atom_site_occupancy
Ba1 0.124 0.124 0.376 1
Si1 0.250 0.250 0.750 1
Cl1 0.000 0.000 0.000 1
```

Output
Theoretical density   4.02 Mg/m³
Formation energy without anion corrections   0.20 eV/atom
DFT total energy   -55.06 eV per cell
Fermi-level density of states   0.7853 states/eV per atom

The following is a DFT calculation (GGA-PBE) of a relaxed structure of BaSiCl2.

CIF file:
```
data_BaSiCl2
_space_group_name_H-M_alt 'C 1 2/m 1'
_space_group_IT_number 12
_space_group_name_Hall '-C 2y'
_cell_length_a 9.888
_cell_length_b 4.350
_cell_length_c 5.795
_cell_angle_alpha 90.00
_cell_angle_beta 92.87
_cell_angle_gamma 90.00
loop_
_atom_site_label
_atom_site_fract_x
_atom_site_fract_y
_atom_site_fract_z
_atom_site_occupancy
Ba1 0.000 0.000 0.000 1
Si1 0.000 0.500 0.500 1
Cl1 0.196 0.500 0.229 1
```

Output
Theoretical density   3.15 Mg/m³
Formation energy without anion corrections   -0.98 eV/atom
DFT total energy   -29.95 eV per cell
Fermi-level density of states   0.3950 states/eV per atom